Record 1
Computed, not measured: crystalline Rb2Te5Au2 at its relaxed geometry at the PBE-GGA level of DFT.

Properties
Total DFT energy (no corrections) = -27.52 eV per formula unit

Structure (CIF):
```
data_Rb2Te5Au2
_chemical_formula_sum 'Rb2 Te5 Au2'
_cell_length_a 7.1187
_cell_length_b 7.1187
_cell_length_c 10.5064
_cell_angle_alpha 105.35
_cell_angle_beta 105.35
_cell_angle_gamma 41.51
_symmetry_space_group_name_H-M 'P 1'
_symmetry_Int_Tables_number 1
_symmetry_space_group_name_Hall 'P 1'
loop_
_atom_site_label
_atom_site_type_symbol
_atom_site_fract_x
_atom_site_fract_y
_atom_site_fract_z
Rb1 Rb 0.0788 0.0788 0.3089
Rb2 Rb 0.9212 0.9212 0.6911
Te1 Te 0.1464 0.1464 0.9785
Te2 Te 0.3901 0.3901 0.4361
Te3 Te 0.5000 0.5000 0.0000
Te4 Te 0.6099 0.6099 0.5639
Te5 Te 0.8536 0.8536 0.0215
Au1 Au 0.3290 0.3290 0.1735
Au2 Au 0.6710 0.6710 0.8265
```


Record 2
Computed, not measured: crystalline PmH3Ir at its relaxed geometry at the PBE-GGA level of DFT.

Properties
Offset from the most stable computed form = 0.74 eV per formula unit

Structure (CIF):
```
data_PmH3Ir
_chemical_formula_sum 'Pm2 H6 Ir2'
_cell_length_a 4.1461
_cell_length_b 5.2035
_cell_length_c 5.6005
_cell_angle_alpha 90.00
_cell_angle_beta 90.11
_cell_angle_gamma 90.00
_symmetry_space_group_name_H-M 'P 1'
_symmetry_Int_Tables_number 1
_symmetry_space_group_name_Hall 'P 1'
loop_
_atom_site_label
_atom_site_type_symbol
_atom_site_fract_x
_atom_site_fract_y
_atom_site_fract_z
Pm1 Pm 0.2225 0.2500 0.2518
Pm2 Pm 0.7775 0.7500 0.7482
H1 H 0.2768 0.5691 0.7529
H2 H 0.2768 0.9309 0.7529
H3 H 0.2914 0.7500 0.2499
H4 H 0.7086 0.2500 0.7501
H5 H 0.7232 0.0691 0.2471
H6 H 0.7232 0.4309 0.2471
Ir1 Ir 0.2820 0.2500 0.7504
Ir2 Ir 0.7180 0.7500 0.2496
```


Record 3
Computed, not measured: crystalline PaCd2IrO8 at its relaxed geometry at the PBE-GGA level of DFT.

Properties
Total DFT energy (no corrections) = -78.38 eV per formula unit

Structure (CIF):
```
data_PaCd2IrO8
_chemical_formula_sum 'Pa1 Cd2 Ir1 O8'
_cell_length_a 5.0354
_cell_length_b 6.7039
_cell_length_c 5.0454
_cell_angle_alpha 90.00
_cell_angle_beta 92.20
_cell_angle_gamma 90.00
_symmetry_space_group_name_H-M 'P 1'
_symmetry_Int_Tables_number 1
_symmetry_space_group_name_Hall 'P 1'
loop_
_atom_site_label
_atom_site_type_symbol
_atom_site_fract_x
_atom_site_fract_y
_atom_site_fract_z
Pa1 Pa 0.0000 0.0000 0.0000
Cd1 Cd 0.5000 0.2575 0.5000
Cd2 Cd 0.5000 0.7425 0.5000
Ir1 Ir 0.0000 0.5000 0.0000
O1 O 0.1788 0.2778 0.8240
O2 O 0.1788 0.7222 0.8240
O3 O 0.2662 0.5000 0.2691
O4 O 0.2902 0.0000 0.2924
O5 O 0.7098 0.0000 0.7076
O6 O 0.7338 0.5000 0.7309
O7 O 0.8212 0.2778 0.1760
O8 O 0.8212 0.7222 0.1760
```


Record 4
Computed, not measured: crystalline CePrHo at its relaxed geometry at the PBE-GGA level of DFT.

Properties
Offset from the most stable computed form = 0.00 eV per formula unit
Calculated formation energy = 49.6 meV/atom

Structure (CIF):
```
data_CePrHo
_chemical_formula_sum 'Ce2 Pr2 Ho2'
_cell_length_a 3.5805
_cell_length_b 6.2062
_cell_length_c 8.8480
_cell_angle_alpha 76.60
_cell_angle_beta 89.99
_cell_angle_gamma 90.00
_symmetry_space_group_name_H-M 'P 1'
_symmetry_Int_Tables_number 1
_symmetry_space_group_name_Hall 'P 1'
loop_
_atom_site_label
_atom_site_type_symbol
_atom_site_fract_x
_atom_site_fract_y
_atom_site_fract_z
Ce1 Ce 0.2492 0.2403 0.0042
Ce2 Ce 0.7508 0.7597 0.9958
Pr1 Pr 0.2502 0.4781 0.3203
Pr2 Pr 0.7498 0.5219 0.6797
Ho1 Ho 0.2501 0.0272 0.6697
Ho2 Ho 0.7499 0.9728 0.3303
```


Record 5
Computed, not measured: crystalline Cs3Nd3GaTe8 at its relaxed geometry at the PBE-GGA level of DFT.

Properties
Total DFT energy (no corrections) = -60.96 eV per formula unit

Structure (CIF):
```
data_Cs3Nd3GaTe8
_chemical_formula_sum 'Cs3 Nd3 Ga1 Te8'
_cell_length_a 8.9877
_cell_length_b 8.9941
_cell_length_c 10.5738
_cell_angle_alpha 65.40
_cell_angle_beta 65.37
_cell_angle_gamma 60.92
_symmetry_space_group_name_H-M 'P 1'
_symmetry_Int_Tables_number 1
_symmetry_space_group_name_Hall 'P 1'
loop_
_atom_site_label
_atom_site_type_symbol
_atom_site_fract_x
_atom_site_fract_y
_atom_site_fract_z
Cs1 Cs 0.0000 0.0000 0.0000
Cs2 Cs 0.0000 0.5000 0.0000
Cs3 Cs 0.5000 0.0000 0.0000
Nd1 Nd 0.0000 0.5000 0.5000
Nd2 Nd 0.5000 0.0000 0.5000
Nd3 Nd 0.5000 0.5000 0.5000
Ga1 Ga 0.0000 0.0000 0.5000
Te1 Te 0.2037 0.2040 0.3247
Te2 Te 0.2260 0.7372 0.3104
Te3 Te 0.2577 0.7778 0.6869
Te4 Te 0.2667 0.2665 0.6976
Te5 Te 0.7333 0.7335 0.3024
Te6 Te 0.7423 0.2222 0.3131
Te7 Te 0.7740 0.2628 0.6896
Te8 Te 0.7963 0.7960 0.6753
```


Record 6
Computed, not measured: crystalline Rb2NaAuI at its relaxed geometry at the PBE-GGA level of DFT.

Properties
Offset from the most stable computed form = 1.60 eV per formula unit

Structure (CIF):
```
data_Rb2NaAuI
_chemical_formula_sum 'Rb2 Na1 Au1 I1'
_cell_length_a 7.0981
_cell_length_b 7.0981
_cell_length_c 5.6289
_cell_angle_alpha 90.00
_cell_angle_beta 90.00
_cell_angle_gamma 90.00
_symmetry_space_group_name_H-M 'P 1'
_symmetry_Int_Tables_number 1
_symmetry_space_group_name_Hall 'P 1'
loop_
_atom_site_label
_atom_site_type_symbol
_atom_site_fract_x
_atom_site_fract_y
_atom_site_fract_z
Rb1 Rb 0.0000 0.5000 0.0000
Rb2 Rb 0.5000 0.0000 0.0000
Na1 Na 0.0000 0.0000 0.5000
Au1 Au 0.5000 0.5000 0.5000
I1 I 0.5000 0.5000 0.0000
```


Record 7
Computed, not measured: crystalline Li5CdPd6 at its relaxed geometry at the PBE-GGA level of DFT.

Properties
Offset from the most stable computed form = 0.15 eV per formula unit
Calculated formation energy = -408.2 meV/atom

Structure (CIF):
```
data_Li5CdPd6
_chemical_formula_sum 'Li5 Cd1 Pd6'
_cell_length_a 4.9036
_cell_length_b 4.9036
_cell_length_c 8.7224
_cell_angle_alpha 95.62
_cell_angle_beta 95.62
_cell_angle_gamma 120.17
_symmetry_space_group_name_H-M 'P 1'
_symmetry_Int_Tables_number 1
_symmetry_space_group_name_Hall 'P 1'
loop_
_atom_site_label
_atom_site_type_symbol
_atom_site_fract_x
_atom_site_fract_y
_atom_site_fract_z
Li1 Li 0.0000 0.0000 0.0000
Li2 Li 0.1674 0.8326 0.5000
Li3 Li 0.3350 0.6650 0.0000
Li4 Li 0.6650 0.3350 0.0000
Li5 Li 0.8326 0.1674 0.5000
Cd1 Cd 0.5000 0.5000 0.5000
Pd1 Pd 0.0762 0.4133 0.2430
Pd2 Pd 0.2480 0.2480 0.7557
Pd3 Pd 0.4133 0.0762 0.2430
Pd4 Pd 0.5867 0.9238 0.7570
Pd5 Pd 0.7520 0.7520 0.2443
Pd6 Pd 0.9238 0.5867 0.7570
```


Record 8
Computed, not measured: crystalline YSn2H2 at its relaxed geometry at the PBE-GGA level of DFT.

Properties
Total DFT energy (no corrections) = -21.94 eV per formula unit

Structure (CIF):
```
data_YSn2H2
_chemical_formula_sum 'Y2 Sn4 H4'
_cell_length_a 6.1569
_cell_length_b 6.1569
_cell_length_c 5.0961
_cell_angle_alpha 90.00
_cell_angle_beta 90.00
_cell_angle_gamma 90.00
_symmetry_space_group_name_H-M 'P 1'
_symmetry_Int_Tables_number 1
_symmetry_space_group_name_Hall 'P 1'
loop_
_atom_site_label
_atom_site_type_symbol
_atom_site_fract_x
_atom_site_fract_y
_atom_site_fract_z
Y1 Y 0.0000 0.0000 0.0000
Y2 Y 0.5000 0.5000 0.0000
Sn1 Sn 0.2287 0.2713 0.5000
Sn2 Sn 0.2713 0.7713 0.5000
Sn3 Sn 0.7287 0.2287 0.5000
Sn4 Sn 0.7713 0.7287 0.5000
H1 H 0.2317 0.2683 0.0000
H2 H 0.2683 0.7683 0.0000
H3 H 0.7317 0.2317 0.0000
H4 H 0.7683 0.7317 0.0000
```


Record 9
Computed, not measured: crystalline Nd2VGa at its relaxed geometry at the PBE-GGA level of DFT.

Properties
Calculated formation energy = 471.2 meV/atom

Structure (CIF):
```
data_Nd2VGa
_chemical_formula_sum 'Nd2 V1 Ga1'
_cell_length_a 10.8323
_cell_length_b 10.8323
_cell_length_c 10.8323
_cell_angle_alpha 18.11
_cell_angle_beta 18.11
_cell_angle_gamma 18.11
_symmetry_space_group_name_H-M 'P 1'
_symmetry_Int_Tables_number 1
_symmetry_space_group_name_Hall 'P 1'
loop_
_atom_site_label
_atom_site_type_symbol
_atom_site_fract_x
_atom_site_fract_y
_atom_site_fract_z
Nd1 Nd 0.0916 0.0916 0.0916
Nd2 Nd 0.9084 0.9084 0.9084
V1 V 0.0000 0.0000 0.0000
Ga1 Ga 0.5000 0.5000 0.5000
```


Record 10
Computed, not measured: crystalline KZn4Ag at its relaxed geometry at the PBE-GGA level of DFT.

Properties
Calculated formation energy = 87.7 meV/atom

Structure (CIF):
```
data_KZn4Ag
_chemical_formula_sum 'K1 Zn4 Ag1'
_cell_length_a 5.4404
_cell_length_b 5.4404
_cell_length_c 5.4404
_cell_angle_alpha 60.00
_cell_angle_beta 60.00
_cell_angle_gamma 60.00
_symmetry_space_group_name_H-M 'P 1'
_symmetry_Int_Tables_number 1
_symmetry_space_group_name_Hall 'P 1'
loop_
_atom_site_label
_atom_site_type_symbol
_atom_site_fract_x
_atom_site_fract_y
_atom_site_fract_z
K1 K 0.0000 0.0000 0.0000
Zn1 Zn 0.1310 0.6230 0.6230
Zn2 Zn 0.6230 0.1310 0.6230
Zn3 Zn 0.6230 0.6230 0.1310
Zn4 Zn 0.6230 0.6230 0.6230
Ag1 Ag 0.2500 0.2500 0.2500
```


Record 11
Computed, not measured: crystalline MnNbRh at its relaxed geometry at the PBE-GGA level of DFT.

Properties
Calculated formation energy = -135.3 meV/atom

Structure (CIF):
```
data_MnNbRh
_chemical_formula_sum 'Mn2 Nb2 Rh2'
_cell_length_a 4.8622
_cell_length_b 4.8622
_cell_length_c 4.8414
_cell_angle_alpha 101.91
_cell_angle_beta 101.91
_cell_angle_gamma 119.12
_symmetry_space_group_name_H-M 'P 1'
_symmetry_Int_Tables_number 1
_symmetry_space_group_name_Hall 'P 1'
loop_
_atom_site_label
_atom_site_type_symbol
_atom_site_fract_x
_atom_site_fract_y
_atom_site_fract_z
Mn1 Mn 0.0000 0.0000 0.0000
Mn2 Mn 0.6715 0.3285 0.0000
Nb1 Nb 0.3246 0.6754 0.0000
Nb2 Nb 0.5465 0.4535 0.5000
Rh1 Rh 0.1966 0.8034 0.5000
Rh2 Rh 0.8688 0.1312 0.5000
```


Record 12
Computed, not measured: crystalline Al2Ag5Au6 at its relaxed geometry at the PBE-GGA level of DFT.

Properties
Calculated formation energy = -68.6 meV/atom

Structure (CIF):
```
data_Al2Ag5Au6
_chemical_formula_sum 'Al4 Ag10 Au12'
_cell_length_a 9.9081
_cell_length_b 12.1379
_cell_length_c 3.9977
_cell_angle_alpha 90.00
_cell_angle_beta 90.00
_cell_angle_gamma 90.00
_symmetry_space_group_name_H-M 'P 1'
_symmetry_Int_Tables_number 1
_symmetry_space_group_name_Hall 'P 1'
loop_
_atom_site_label
_atom_site_type_symbol
_atom_site_fract_x
_atom_site_fract_y
_atom_site_fract_z
Al1 Al 0.1518 0.2376 0.0000
Al2 Al 0.3482 0.7376 0.0000
Al3 Al 0.6518 0.2624 0.0000
Al4 Al 0.8482 0.7624 0.0000
Ag1 Ag 0.0000 0.5000 0.5000
Ag2 Ag 0.0569 0.7212 0.5000
Ag3 Ag 0.1233 0.0708 0.5000
Ag4 Ag 0.3767 0.5708 0.5000
Ag5 Ag 0.4431 0.2212 0.5000
Ag6 Ag 0.5000 0.0000 0.5000
Ag7 Ag 0.5569 0.7788 0.5000
Ag8 Ag 0.6233 0.4292 0.5000
Ag9 Ag 0.8767 0.9292 0.5000
Ag10 Ag 0.9431 0.2788 0.5000
Au1 Au 0.0773 0.8906 0.0000
Au2 Au 0.1786 0.5734 0.0000
Au3 Au 0.2162 0.3606 0.5000
Au4 Au 0.2838 0.8606 0.5000
Au5 Au 0.3214 0.0734 0.0000
Au6 Au 0.4227 0.3906 0.0000
Au7 Au 0.5773 0.6094 0.0000
Au8 Au 0.6786 0.9266 0.0000
Au9 Au 0.7162 0.1394 0.5000
Au10 Au 0.7838 0.6394 0.5000
Au11 Au 0.8214 0.4266 0.0000
Au12 Au 0.9227 0.1094 0.0000
```


| no. | density (g/cm3) |
| --- | --- |
| 1 | 5.9 |
| 2 | 9.4 |
| 3 | 7.6 |
| 4 | 7.7 |
| 5 | 4.9 |
| 6 | 3.0 |
| 7 | 7.3 |
| 8 | 5.6 |
| 9 | 6.3 |
| 10 | 6.0 |
| 11 | 9.1 |
| 12 | 12.3 |